[1]
MgCoO3: relaxed, PBE+U.

Cell and atoms, written as POSCAR:
```
MgCoO3
1.0
2.529 1.460 4.084
-2.529 1.460 4.084
0.000 -2.920 4.084
Mg Co O
2 2 6
direct
0.250 0.250 0.250
0.750 0.750 0.750
0.000 0.000 0.000
0.500 0.500 0.500
0.136 0.750 0.364
0.250 0.636 0.864
0.364 0.136 0.750
0.636 0.864 0.250
0.750 0.364 0.136
0.864 0.250 0.636
```

Calculated values
- SG = R-3c
- electronic total energy (eV per atom) = -5.69

[2]
MgCoO2: relaxed, PBE+U.

Cell and atoms, written as POSCAR:
```
MgCoO2
1.0
0.000 4.225 4.225
4.225 0.000 4.225
4.225 4.225 0.000
Mg Co O
4 4 8
direct
0.000 0.000 0.000
0.000 0.000 0.500
0.000 0.500 0.000
0.500 0.000 0.000
0.000 0.500 0.500
0.500 0.000 0.500
0.500 0.500 0.000
0.500 0.500 0.500
0.242 0.753 0.753
0.247 0.247 0.247
0.247 0.247 0.758
0.247 0.758 0.247
0.753 0.242 0.753
0.753 0.753 0.242
0.753 0.753 0.753
0.758 0.247 0.247
```

Calculated values
- SG = Fd-3m
- electronic total energy (eV per atom) = -6.01

[3]
Mg2CoO3: relaxed, PBE+U.

Cell and atoms, written as POSCAR:
```
Mg2CoO3
1.0
2.976 0.000 0.000
-1.488 2.577 0.000
0.000 0.000 7.270
Mg Co O
2 1 3
direct
0.333 0.667 0.166
0.667 0.333 0.834
0.000 0.000 0.500
0.000 0.000 0.000
0.333 0.667 0.673
0.667 0.333 0.327
```

Calculated values
- excess energy over the best structure of this formula in the dataset (eV per formula unit) = 0.00
- SG = P-3m1

[4]
Mg2CoO3: relaxed, PBE+U.

Cell and atoms, written as POSCAR:
```
Mg2CoO3
1.0
2.957 0.000 0.000
0.000 4.254 0.000
0.000 0.000 8.866
Mg Co O
4 2 6
direct
0.000 0.000 0.163
0.000 0.000 0.837
0.500 0.500 0.337
0.500 0.500 0.663
0.000 0.000 0.500
0.500 0.500 0.000
0.000 0.500 0.170
0.000 0.500 0.500
0.000 0.500 0.830
0.500 0.000 0.000
0.500 0.000 0.330
0.500 0.000 0.670
```

Calculated values
- excess energy over the best structure of this formula in the dataset (eV per formula unit) = 0.10
- SG = Immm

no.,total moment (μB/atom)
1,0.203
2,0.750
3,0.500
4,0.500